## La2InSb (PBE)

Data for crystalline La2InSb at its relaxed geometry. Values from VASP.

Cell and atoms, written as Quantum ESPRESSO input:
```
&SYSTEM
  ibrav = 0, nat = 4, ntyp = 3
/
ATOMIC_SPECIES
La 138.91 La.upf
In 114.82 In.upf
Sb 121.76 Sb.upf
ATOMIC_POSITIONS crystal
La 0.000 0.500 0.000
La 0.500 0.000 0.000
In 0.000 0.000 0.500
Sb 0.500 0.500 0.500
CELL_PARAMETERS angstrom
5.205 0.000 0.000
0.000 5.205 0.000
0.000 0.000 4.455
```

Calculated values
Offset from the most stable computed form   107 meV/atom

***

## La6InSb2Te3 (PBE)

Data for crystalline La6InSb2Te3 at its relaxed geometry. Values from VASP.

Cell and atoms, written as Quantum ESPRESSO input:
```
&SYSTEM
  ibrav = 0, nat = 12, ntyp = 4
/
ATOMIC_SPECIES
La 138.91 La.upf
In 114.82 In.upf
Sb 121.76 Sb.upf
Te 127.60 Te.upf
ATOMIC_POSITIONS crystal
La 0.001 0.001 0.249
La 0.331 0.331 0.421
La 0.335 0.335 0.913
La 0.665 0.665 0.087
La 0.669 0.669 0.579
La 0.999 0.999 0.751
In 0.500 0.500 0.000
Sb 0.167 0.167 0.334
Sb 0.833 0.833 0.666
Te 0.168 0.168 0.833
Te 0.500 0.500 0.500
Te 0.832 0.832 0.167
CELL_PARAMETERS angstrom
10.064 -2.287 0.000
10.064 2.287 0.000
-2.117 0.000 9.062
```

***

no.,magnetic moment (μB/cell),formation energy from raw total energies (eV per atom)
1,0.001,-0.752
2,0.000,-1.303